# 1
! SCAN YMgRh2, single point on PBEsol structure; values from VASP
! - E_form: -0.585 eV/atom
! - Fermi-level density of states: 0.683 states/eV/atom
! - Final energy: -102.7 eV for the cell shown
! - Volume: 17.3 Å³/atom
! - Crystal system: monoclinic
! - Space-group type: Cm
&SYSTEM
  ibrav = 0, nat = 4, ntyp = 3
/
ATOMIC_SPECIES
Mg 24.30 Mg.upf
Rh 102.91 Rh.upf
Y 88.91 Y.upf
CELL_PARAMETERS angstrom
-1.3191 -0.9129 2.7483
-3.5022 -1.8061 -2.2808
4.1932 -3.0983 -0.8588
ATOMIC_POSITIONS crystal
Mg 0.2666 0.8094 0.5332
Rh 0.0083 0.9514 0.0166
Rh 0.7384 0.2911 0.4769
Y 0.4866 0.4480 0.9733

---

# 2
! SCAN Li3ZnCu, single point on PBEsol structure; values from VASP
! - E_form: 0.307 eV/atom
! - Fermi-level density of states: 0.353 states/eV/atom
! - Final energy: -34.4 eV for the cell shown
! - Volume: 18.5 Å³/atom
! - Crystal system: cubic
! - Space-group type: Pm-3m
&SYSTEM
  ibrav = 0, nat = 5, ntyp = 3
/
ATOMIC_SPECIES
Zn 65.41 Zn.upf
Cu 63.55 Cu.upf
Li 6.94 Li.upf
CELL_PARAMETERS angstrom
-3.1758 0.8674 -3.1068
-0.5494 -4.4416 -0.6784
-3.1784 -0.0988 3.2215
ATOMIC_POSITIONS crystal
Zn 0.5000 0.5000 0.5000
Cu 0.0000 0.0000 0.0000
Li 0.0000 0.5000 0.0000
Li 0.0000 0.0000 0.5000
Li 0.5000 0.0000 0.0000

---

# 3
! SCAN TiSe2I, single point on PBEsol structure; values from VASP
! - Fermi-level density of states: 0.600 states/eV/atom
! - Final energy: -92.0 eV for the cell shown
! - Volume: 20.3 Å³/atom
! - Crystal system: cubic
! - Space-group type: Fm-3m
! - Formation energy from raw total energies: 227 meV/atom
&SYSTEM
  ibrav = 0, nat = 4, ntyp = 3
/
ATOMIC_SPECIES
I 126.90 I.upf
Se 78.96 Se.upf
Ti 47.87 Ti.upf
CELL_PARAMETERS angstrom
4.8602 0.0000 0.0000
2.4301 4.2091 0.0000
2.4301 1.4030 3.9683
ATOMIC_POSITIONS crystal
I 0.5000 0.5000 0.5000
Se 0.2500 0.2500 0.2500
Se 0.7500 0.7500 0.7500
Ti 0.0000 0.0000 0.0000

---

# 4
! SCAN InReAg2, single point on PBEsol structure; values from VASP
! - E_form: 0.553 eV/atom
! - Fermi-level density of states: 0.526 states/eV/atom
! - Final energy: -165.0 eV for the cell shown
! - Volume: 17.1 Å³/atom
! - Crystal system: tetragonal
! - Space-group type: P4/mmm
&SYSTEM
  ibrav = 0, nat = 4, ntyp = 3
/
ATOMIC_SPECIES
Re 186.21 Re.upf
Ag 107.87 Ag.upf
In 114.82 In.upf
CELL_PARAMETERS angstrom
-2.5350 -0.2888 1.0735
0.9422 -1.9782 1.6915
1.8997 6.1570 6.1427
ATOMIC_POSITIONS crystal
Re 0.5000 0.5000 0.0000
Ag 0.0000 0.0000 0.2358
Ag 0.0000 0.0000 0.7642
In 0.5000 0.5000 0.5000

---

# 5
! SCAN LaSbRh, single point on PBEsol structure; values from VASP
! - Fermi-level density of states: 0.409 states/eV/atom
! - Final energy: -115.8 eV for the cell shown
! - Volume: 25.1 Å³/atom
! - Crystal system: tetragonal
! - Space-group type: I4mm
! - Formation energy from raw total energies: -548 meV/atom
&SYSTEM
  ibrav = 0, nat = 3, ntyp = 3
/
ATOMIC_SPECIES
La 138.91 La.upf
Rh 102.91 Rh.upf
Sb 121.76 Sb.upf
CELL_PARAMETERS angstrom
-3.4589 -0.4453 -1.8641
-1.0886 -2.7091 2.6671
0.3512 5.0461 2.3372
ATOMIC_POSITIONS crystal
La 0.0306 0.0306 0.0612
Rh 0.6214 0.6214 0.2429
Sb 0.3480 0.3480 0.6960

---

# 6
! SCAN CsSrPO2, single point on PBEsol structure; values from VASP
! - Fermi-level density of states: 0.741 states/eV/atom
! - Final energy: -82.8 eV for the cell shown
! - Volume: 21.5 Å³/atom
! - Crystal system: tetragonal
! - Space-group type: P4/mmm
! - Formation energy from raw total energies: 21 meV/atom
&SYSTEM
  ibrav = 0, nat = 5, ntyp = 4
/
ATOMIC_SPECIES
Cs 132.91 Cs.upf
Sr 87.62 Sr.upf
O 16.00 O.upf
P 30.97 P.upf
CELL_PARAMETERS angstrom
-2.1143 -3.3152 2.1403
3.4988 -0.4520 2.7561
-2.1865 3.5639 3.3602
ATOMIC_POSITIONS crystal
Cs 0.0000 0.0000 0.0000
Sr 0.5000 0.5000 0.5000
O 0.0000 0.5000 0.0000
O 0.5000 0.0000 0.0000
P 0.0000 0.0000 0.5000

---

Q: Which value of volume does entry 5 give?
A: 25.1 Å³/atom

---

What did the sixth record say?
! SCAN CsSrPO2, single point on PBEsol structure; values from VASP
! - Fermi-level density of states: 0.741 states/eV/atom
! - Final energy: -82.8 eV for the cell shown
! - Volume: 21.5 Å³/atom
! - Crystal system: tetragonal
! - Space-group type: P4/mmm
! - Formation energy from raw total energies: 21 meV/atom
&SYSTEM
  ibrav = 0, nat = 5, ntyp = 4
/
ATOMIC_SPECIES
Cs 132.91 Cs.upf
Sr 87.62 Sr.upf
O 16.00 O.upf
P 30.97 P.upf
CELL_PARAMETERS angstrom
-2.1143 -3.3152 2.1403
3.4988 -0.4520 2.7561
-2.1865 3.5639 3.3602
ATOMIC_POSITIONS crystal
Cs 0.0000 0.0000 0.0000
Sr 0.5000 0.5000 0.5000
O 0.0000 0.5000 0.0000
O 0.5000 0.0000 0.0000
P 0.0000 0.0000 0.5000

---

Q: final energy of number 5 (LaSbRh)?
A: -115.8 eV for the cell shown